! PBE Na2ScFe, relaxed; values from VASP
&SYSTEM
  ibrav = 0, nat = 8, ntyp = 3
/
ATOMIC_SPECIES
Na 22.99 Na.upf
Fe 55.84 Fe.upf
Sc 44.96 Sc.upf
CELL_PARAMETERS angstrom
-0.126 -3.857 0.223
1.623 0.150 3.505
-10.022 -1.214 6.824
ATOMIC_POSITIONS angstrom
Na -1.505 -0.638 3.921
Fe 0.000 0.000 0.000
Fe -4.700 -3.462 4.456
Na -2.383 -2.750 2.287
Sc -3.825 -1.459 6.096
Sc 0.748 -1.853 1.864
Na -6.184 -4.152 8.430
Na -6.978 -2.303 6.467
! VASP energy = -3.75 eV/atom
! N(E_F) = 1.096 states/eV per atom
! Energy relative to the elements = 0.607 eV/atom
! Relative energy among the computed polymorphs = 0.0000 eV/atom

! PBE Na3ScFe, relaxed; values from VASP
&SYSTEM
  ibrav = 0, nat = 5, ntyp = 3
/
ATOMIC_SPECIES
Na 22.99 Na.upf
Sc 44.96 Sc.upf
Fe 55.84 Fe.upf
CELL_PARAMETERS angstrom
-5.956 -1.624 0.140
0.600 -1.690 5.909
-1.516 5.713 1.788
ATOMIC_POSITIONS angstrom
Na -0.758 2.856 0.894
Sc 0.000 0.000 0.000
Na -2.978 -0.812 0.070
Fe -3.436 1.199 3.919
Na 0.300 -0.845 2.954
! VASP energy = -2.16 eV/atom
! N(E_F) = 4.383 states/eV per atom
! Energy relative to the elements = 1.586 eV/atom
! Relative energy among the computed polymorphs = 0.5131 eV/atom

! PBE NaScFe, relaxed; values from VASP
&SYSTEM
  ibrav = 0, nat = 6, ntyp = 3
/
ATOMIC_SPECIES
Fe 55.84 Fe.upf
Na 22.99 Na.upf
Sc 44.96 Sc.upf
CELL_PARAMETERS angstrom
-0.398 1.455 -2.561
-1.576 -2.288 -1.056
-12.083 5.909 5.234
ATOMIC_POSITIONS angstrom
Fe -7.700 3.765 3.335
Na -10.717 4.342 2.407
Sc -0.214 0.105 0.093
Fe -2.645 0.394 -1.090
Na -3.689 1.804 1.598
Sc -7.243 2.642 0.901
! VASP energy = -4.98 eV/atom
! N(E_F) = 1.141 states/eV per atom
! Energy relative to the elements = 0.396 eV/atom
! Relative energy among the computed polymorphs = 0.3208 eV/atom

! PBE NaScFe, relaxed; values from VASP
&SYSTEM
  ibrav = 0, nat = 6, ntyp = 3
/
ATOMIC_SPECIES
Fe 55.84 Fe.upf
Sc 44.96 Sc.upf
Na 22.99 Na.upf
CELL_PARAMETERS angstrom
-0.360 -1.797 2.558
3.124 -0.118 0.356
-0.460 10.925 7.642
ATOMIC_POSITIONS angstrom
Fe 0.670 0.021 1.075
Sc 0.307 8.632 7.110
Na 0.516 3.722 3.654
Fe 1.634 8.989 9.481
Na 1.789 5.289 6.903
Sc 1.998 0.378 3.447
! VASP energy = -5.30 eV/atom
! N(E_F) = 0.878 states/eV per atom
! Energy relative to the elements = 0.075 eV/atom
! Relative energy among the computed polymorphs = 0.0000 eV/atom

! PBE Na2ZrScFe, relaxed; values from VASP
&SYSTEM
  ibrav = 0, nat = 5, ntyp = 4
/
ATOMIC_SPECIES
Sc 44.96 Sc.upf
Fe 55.84 Fe.upf
Na 22.99 Na.upf
Zr 91.22 Zr.upf
CELL_PARAMETERS angstrom
-0.227 5.107 1.004
-2.894 0.470 -3.046
-3.791 -0.851 3.470
ATOMIC_POSITIONS angstrom
Sc 0.000 0.000 0.000
Fe -1.447 0.235 -1.523
Na -1.895 -0.425 1.735
Na -0.114 2.553 0.502
Zr -3.456 2.363 0.714
! VASP energy = -3.90 eV/atom
! N(E_F) = 1.367 states/eV per atom
! Energy relative to the elements = 1.295 eV/atom

! PBE Na2FeSe, relaxed; values from VASP
&SYSTEM
  ibrav = 0, nat = 8, ntyp = 3
/
ATOMIC_SPECIES
Fe 55.84 Fe.upf
Na 22.99 Na.upf
Se 78.96 Se.upf
CELL_PARAMETERS angstrom
-8.231 -4.543 -4.604
6.250 -3.666 -7.556
-0.631 -5.980 -4.872
ATOMIC_POSITIONS angstrom
Fe -0.991 -4.104 -6.080
Na -5.787 -5.491 -5.748
Se 0.000 0.000 0.000
Na -2.177 -7.000 -7.053
Na -4.246 -8.199 -10.412
Fe 2.314 -6.875 -9.254
Se -4.926 -7.314 -7.778
Na -7.496 -8.566 -7.900
! VASP energy = -3.63 eV/atom
! ΔE_f (raw) = 0.01 eV per atom
! N(E_F) = 1.040 states/eV per atom

! PBE NaFeSe, relaxed; values from VASP
&SYSTEM
  ibrav = 0, nat = 6, ntyp = 3
/
ATOMIC_SPECIES
Na 22.99 Na.upf
Fe 55.84 Fe.upf
Se 78.96 Se.upf
CELL_PARAMETERS angstrom
-3.594 0.328 1.264
0.428 -3.201 2.047
2.705 4.528 6.513
ATOMIC_POSITIONS angstrom
Na -1.330 0.945 1.756
Na 2.452 2.146 6.413
Fe 1.352 2.264 3.257
Fe -0.231 0.827 4.913
Se -0.015 3.147 4.923
Se 1.137 -0.056 3.246
! VASP energy = -4.74 eV/atom
! ΔE_f (raw) = -0.32 eV per atom
! N(E_F) = 0.703 states/eV per atom
! Relative energy among the computed polymorphs = 0.0000 eV/atom

! PBE NaFe2Se, relaxed; values from VASP
&SYSTEM
  ibrav = 0, nat = 8, ntyp = 3
/
ATOMIC_SPECIES
Fe 55.84 Fe.upf
Se 78.96 Se.upf
Na 22.99 Na.upf
CELL_PARAMETERS angstrom
-3.558 6.291 -2.019
-5.868 -1.955 4.249
-3.640 3.438 3.181
ATOMIC_POSITIONS angstrom
Fe -5.865 4.337 2.933
Se 0.000 0.000 0.000
Se -5.956 5.948 1.139
Na -4.713 2.168 1.115
Na -7.111 1.825 4.273
Fe -11.378 6.239 4.627
Fe -4.110 4.976 -0.073
Fe -4.780 -0.005 3.336
! VASP energy = -4.94 eV/atom
! ΔE_f (raw) = 0.49 eV per atom
! N(E_F) = 0.825 states/eV per atom

! PBE NaFeSe3, relaxed; values from VASP
&SYSTEM
  ibrav = 0, nat = 5, ntyp = 3
/
ATOMIC_SPECIES
Se 78.96 Se.upf
Na 22.99 Na.upf
Fe 55.84 Fe.upf
CELL_PARAMETERS angstrom
4.783 0.000 0.000
0.000 4.783 0.000
0.000 0.000 4.783
ATOMIC_POSITIONS angstrom
Se 2.391 0.000 0.000
Na 2.391 2.391 2.391
Fe 0.000 0.000 0.000
Se 0.000 2.391 0.000
Se 0.000 0.000 2.391
! VASP energy = -4.07 eV/atom
! ΔE_f (raw) = -0.02 eV per atom
! N(E_F) = 1.469 states/eV per atom
! Relative energy among the computed polymorphs = 0.0000 eV/atom

! PBE NaFeSe3, relaxed; values from VASP
&SYSTEM
  ibrav = 0, nat = 5, ntyp = 3
/
ATOMIC_SPECIES
Se 78.96 Se.upf
Fe 55.84 Fe.upf
Na 22.99 Na.upf
CELL_PARAMETERS angstrom
-1.663 4.500 -1.522
-4.474 -0.943 2.102
1.594 2.048 4.312
ATOMIC_POSITIONS angstrom
Se -2.237 -0.472 1.051
Fe -2.272 2.802 2.446
Se -0.832 2.250 -0.761
Na 0.000 0.000 0.000
Se 0.797 1.024 2.156
! VASP energy = -2.68 eV/atom
! ΔE_f (raw) = 1.37 eV per atom
! N(E_F) = 1.981 states/eV per atom
! Relative energy among the computed polymorphs = 1.3895 eV/atom

! PBE Na6FeSe4, relaxed; values from VASP
&SYSTEM
  ibrav = 0, nat = 22, ntyp = 3
/
ATOMIC_SPECIES
Na 22.99 Na.upf
Se 78.96 Se.upf
Fe 55.84 Fe.upf
CELL_PARAMETERS angstrom
7.035 4.861 3.759
-8.091 4.242 -1.947
-2.428 -1.598 6.611
ATOMIC_POSITIONS angstrom
Na -7.165 3.468 2.478
Na 0.198 7.059 2.106
Na 4.694 4.703 3.188
Se 1.759 4.500 2.494
Na 1.912 5.971 5.064
Na -5.979 1.150 4.945
Fe -3.663 4.044 1.625
Fe 0.165 3.452 6.833
Na -2.670 1.112 3.559
Na -0.972 3.979 3.523
Se -4.497 3.495 3.897
Se -0.444 1.591 5.310
Se 2.629 3.714 6.951
Se -0.905 5.566 6.101
Se -2.531 6.249 1.724
Na 2.344 2.240 4.322
Na -3.256 6.169 4.566
Na 0.785 2.002 1.099
Na -6.412 4.881 5.688
Se -2.069 2.274 0.933
Na -3.095 3.143 6.486
Se -5.603 4.126 0.083
! VASP energy = -3.64 eV/atom
! ΔE_f (raw) = -0.89 eV per atom
! N(E_F) = 0.590 states/eV per atom

! PBE NaFeSe, relaxed; values from VASP
&SYSTEM
  ibrav = 0, nat = 12, ntyp = 3
/
ATOMIC_SPECIES
Se 78.96 Se.upf
Fe 55.84 Fe.upf
Na 22.99 Na.upf
CELL_PARAMETERS angstrom
6.617 0.876 -0.526
1.025 6.595 -0.526
2.876 2.811 5.686
ATOMIC_POSITIONS angstrom
Se 2.353 5.657 1.094
Se 7.147 3.629 3.937
Fe 2.612 7.409 2.762
Na 6.491 5.624 1.859
Na 7.207 7.768 4.702
Se 6.607 3.462 -0.049
Fe 6.028 1.038 -0.081
Na 3.221 4.183 3.478
Fe 5.986 2.193 2.067
Se 5.048 7.932 2.794
Fe 3.766 7.340 4.910
Na 2.817 1.720 0.635
! VASP energy = -4.73 eV/atom
! ΔE_f (raw) = -0.31 eV per atom
! N(E_F) = 0.198 states/eV per atom
! Relative energy among the computed polymorphs = 0.0115 eV/atom

! PBE NaFe2SnSe, relaxed; values from VASP
&SYSTEM
  ibrav = 0, nat = 5, ntyp = 4
/
ATOMIC_SPECIES
Fe 55.84 Fe.upf
Na 22.99 Na.upf
Sn 118.71 Sn.upf
Se 78.96 Se.upf
CELL_PARAMETERS angstrom
4.448 0.000 0.000
0.000 5.656 0.000
0.000 0.000 4.448
ATOMIC_POSITIONS angstrom
Fe 0.000 0.000 2.224
Na 2.224 2.828 2.224
Sn 0.000 2.828 0.000
Fe 2.224 0.000 0.000
Se 0.000 0.000 0.000
! VASP energy = -4.58 eV/atom
! ΔE_f (raw) = 0.57 eV per atom
! N(E_F) = 0.829 states/eV per atom

! PBE Na3Ti2FeSe6, relaxed; values from VASP
&SYSTEM
  ibrav = 0, nat = 12, ntyp = 4
/
ATOMIC_SPECIES
Se 78.96 Se.upf
Fe 55.84 Fe.upf
Ti 47.87 Ti.upf
Na 22.99 Na.upf
CELL_PARAMETERS angstrom
-0.499 -0.129 -6.395
4.958 -2.731 3.021
-5.105 -5.044 1.564
ATOMIC_POSITIONS angstrom
Se 0.862 -2.059 1.081
Se 0.256 -6.686 0.154
Se -0.902 -1.217 -1.964
Fe 0.000 0.000 0.000
Se 2.281 -3.277 -2.228
Ti 1.408 -1.038 -3.104
Na -2.081 -3.113 -3.939
Na -0.323 -3.952 -0.905
Ti 3.051 -1.821 -0.270
Na 1.435 -4.790 2.129
Se -1.508 -5.845 -2.891
Se -2.927 -4.627 0.418
! VASP energy = -5.03 eV/atom
! ΔE_f (raw) = -0.94 eV per atom
! N(E_F) = 0.088 states/eV per atom

! PBE Na3Ti3FeSe8, relaxed; values from VASP
&SYSTEM
  ibrav = 0, nat = 15, ntyp = 4
/
ATOMIC_SPECIES
Se 78.96 Se.upf
Ti 47.87 Ti.upf
Na 22.99 Na.upf
Fe 55.84 Fe.upf
CELL_PARAMETERS angstrom
-2.909 -6.701 0.789
0.881 2.856 -6.713
6.918 -2.550 3.847
ATOMIC_POSITIONS angstrom
Se 4.615 -2.034 -0.260
Ti 3.899 0.153 -1.433
Se -0.164 -5.790 1.538
Se 5.054 -0.605 -3.616
Se 1.291 -2.439 1.144
Ti 2.445 -3.198 -1.039
Ti 2.005 -4.626 2.318
Se 0.275 -4.361 -1.817
Na 0.440 1.428 -3.356
Se 3.204 -5.403 0.134
Se 3.600 -3.956 -3.221
Na -1.014 -1.923 -2.962
Fe 3.459 -1.275 1.923
Se 1.686 -0.992 -2.211
Na 0.000 0.000 0.000
! VASP energy = -5.26 eV/atom
! ΔE_f (raw) = -0.99 eV per atom
! N(E_F) = 0.655 states/eV per atom

! PBE Na4Ti3FeSe8, relaxed; values from VASP
&SYSTEM
  ibrav = 0, nat = 16, ntyp = 4
/
ATOMIC_SPECIES
Ti 47.87 Ti.upf
Se 78.96 Se.upf
Na 22.99 Na.upf
Fe 55.84 Fe.upf
CELL_PARAMETERS angstrom
-6.837 -1.987 -2.381
2.979 -7.268 -2.491
1.077 1.856 7.195
ATOMIC_POSITIONS angstrom
Ti -1.929 -4.627 -2.436
Ti 2.028 -2.706 2.352
Se 1.541 -3.826 4.666
Ti -1.390 -3.699 1.161
Se -3.785 -2.647 1.242
Na 0.538 0.928 3.597
Na -2.880 -0.065 2.407
Se -0.914 -2.582 -1.157
Fe 1.490 -3.634 -1.245
Se -0.373 -1.635 2.435
Se -1.866 -4.816 3.479
Na -3.418 -0.993 -1.190
Na 0.000 0.000 0.000
Se 1.004 -4.751 1.080
Se -2.408 -5.763 -0.113
Se -4.322 -3.572 -2.343
! VASP energy = -5.10 eV/atom
! ΔE_f (raw) = -1.02 eV per atom
! N(E_F) = 0.475 states/eV per atom

! PBE Na3U2FeSe6, relaxed; values from VASP
&SYSTEM
  ibrav = 0, nat = 12, ntyp = 4
/
ATOMIC_SPECIES
Se 78.96 Se.upf
Na 22.99 Na.upf
Fe 55.84 Fe.upf
U 238.03 U.upf
CELL_PARAMETERS angstrom
-4.210 -2.862 4.787
-1.263 -0.979 -6.803
5.847 -4.490 0.758
ATOMIC_POSITIONS angstrom
Se 0.501 -1.614 -2.164
Na 1.164 -3.541 -4.472
Se 0.818 -6.113 -2.814
Se 3.189 -4.423 0.093
Na 0.187 -4.165 -0.629
Se -0.445 -2.218 1.556
Fe 0.000 0.000 0.000
Se -2.816 -3.908 -1.351
Na -0.790 -4.790 3.214
U -2.246 -1.607 -2.938
Se -0.127 -6.717 0.905
U -3.228 -2.234 0.922
! VASP energy = -5.64 eV/atom
! ΔE_f (raw) = -0.98 eV per atom
! N(E_F) = 1.628 states/eV per atom

! PBE Na3Zr3FeSe8, relaxed; values from VASP
&SYSTEM
  ibrav = 0, nat = 15, ntyp = 4
/
ATOMIC_SPECIES
Se 78.96 Se.upf
Fe 55.84 Fe.upf
Zr 91.22 Zr.upf
Na 22.99 Na.upf
CELL_PARAMETERS angstrom
-3.966 4.445 4.568
2.126 -6.818 2.317
6.109 5.897 -0.435
ATOMIC_POSITIONS angstrom
Se 0.858 2.677 1.007
Se 4.396 2.113 1.761
Se 5.532 -1.531 2.997
Se -1.263 5.055 3.452
Fe 3.054 2.948 -0.217
Zr 2.135 1.762 3.225
Na 0.000 0.000 0.000
Se 1.753 -0.754 2.257
Na -0.920 -1.187 3.442
Na 1.063 -3.409 1.158
Se 3.411 0.847 5.442
Se -0.126 1.411 4.689
Se 2.516 4.277 4.193
Zr 1.072 5.171 2.066
Zr 4.117 -0.460 0.941
! VASP energy = -5.50 eV/atom
! ΔE_f (raw) = -1.10 eV per atom
! N(E_F) = 0.349 states/eV per atom

! PBE Na3Zr2FeSe6, relaxed; values from VASP
&SYSTEM
  ibrav = 0, nat = 12, ntyp = 4
/
ATOMIC_SPECIES
Zr 91.22 Zr.upf
Na 22.99 Na.upf
Se 78.96 Se.upf
Fe 55.84 Fe.upf
CELL_PARAMETERS angstrom
6.699 -0.003 -0.001
-3.351 5.801 -0.001
-1.119 -1.937 7.038
ATOMIC_POSITIONS angstrom
Zr 3.342 1.936 -0.001
Na 1.115 1.931 3.518
Na -2.210 3.851 3.518
Se -0.021 -0.036 5.488
Zr 0.007 3.862 -0.001
Se 2.251 3.897 1.548
Se -1.100 1.899 1.539
Se 3.330 1.962 5.497
Se 2.195 -0.003 1.539
Na 4.439 0.011 3.518
Se 0.035 3.864 5.497
Fe 0.000 0.000 0.000
! VASP energy = -5.28 eV/atom
! ΔE_f (raw) = -1.08 eV per atom
! N(E_F) = 0.474 states/eV per atom

! PBE Na4Zr3FeSe8, relaxed; values from VASP
&SYSTEM
  ibrav = 0, nat = 16, ntyp = 4
/
ATOMIC_SPECIES
Na 22.99 Na.upf
Se 78.96 Se.upf
Zr 91.22 Zr.upf
Fe 55.84 Fe.upf
CELL_PARAMETERS angstrom
7.718 0.000 0.000
0.000 8.359 0.439
-3.859 -3.854 5.462
ATOMIC_POSITIONS angstrom
Na 0.000 0.000 0.000
Na 3.859 0.000 0.000
Se -1.964 2.225 5.684
Se 3.859 0.318 2.997
Se 1.964 2.225 5.684
Na -1.929 -1.927 2.731
Zr 3.859 4.180 0.220
Zr 1.929 2.252 2.951
Se 1.895 2.280 0.218
Se 0.000 0.295 2.932
Zr -1.929 2.252 2.951
Fe 0.000 4.180 0.220
Se 3.859 4.210 2.969
Na 1.929 -1.927 2.731
Se 5.823 2.280 0.218
Se 0.000 4.187 2.904
! VASP energy = -5.34 eV/atom
! ΔE_f (raw) = -1.13 eV per atom
! N(E_F) = 0.569 states/eV per atom

! PBE NaFeSi3, relaxed; values from VASP
&SYSTEM
  ibrav = 0, nat = 5, ntyp = 3
/
ATOMIC_SPECIES
Si 28.09 Si.upf
Na 22.99 Na.upf
Fe 55.84 Fe.upf
CELL_PARAMETERS angstrom
-4.277 -1.287 0.314
1.289 -4.288 -0.025
0.308 0.067 4.467
ATOMIC_POSITIONS angstrom
Si 0.154 0.033 2.233
Na -1.340 -2.754 2.378
Fe 0.000 0.000 0.000
Si -2.139 -0.644 0.157
Si 0.644 -2.144 -0.012
! VASP energy = -4.95 eV/atom
! ΔE_f (raw) = 0.26 eV per atom
! N(E_F) = 1.019 states/eV per atom
! Relative energy among the computed polymorphs = 0.0000 eV/atom

! PBE Na3FeSi, relaxed; values from VASP
&SYSTEM
  ibrav = 0, nat = 5, ntyp = 3
/
ATOMIC_SPECIES
Fe 55.84 Fe.upf
Na 22.99 Na.upf
Si 28.09 Si.upf
CELL_PARAMETERS angstrom
5.310 0.000 0.000
0.000 5.310 0.000
0.000 0.000 5.310
ATOMIC_POSITIONS angstrom
Fe 0.000 0.000 0.000
Na 0.000 0.000 2.655
Na 2.655 0.000 0.000
Na 0.000 2.655 0.000
Si 2.655 2.655 2.655
! VASP energy = -2.38 eV/atom
! ΔE_f (raw) = 1.19 eV per atom
! N(E_F) = 1.539 states/eV per atom
! Relative energy among the computed polymorphs = 0.1724 eV/atom

! PBE NaFe2Si, relaxed; values from VASP
&SYSTEM
  ibrav = 0, nat = 8, ntyp = 3
/
ATOMIC_SPECIES
Fe 55.84 Fe.upf
Na 22.99 Na.upf
Si 28.09 Si.upf
CELL_PARAMETERS angstrom
4.259 0.000 0.000
0.000 4.259 0.000
2.129 2.129 8.089
ATOMIC_POSITIONS angstrom
Fe 3.194 2.013 6.067
Fe 5.323 2.246 6.067
Na 2.129 2.129 0.000
Si 0.000 0.000 0.000
Fe 4.142 3.194 2.022
Na 2.129 4.259 4.045
Si 4.259 2.129 4.045
Fe 4.375 1.065 2.022
! VASP energy = -5.13 eV/atom
! ΔE_f (raw) = 0.78 eV per atom
! N(E_F) = 1.368 states/eV per atom